! PBE-GGA LiCa4Cd3, relaxed; values from VASP
! VASP energy = -1.86 eV/atom
! DOS at the Fermi energy = 6.3 states/eV/f.u.
! formation energy = -0.274 eV/atom
&SYSTEM
  ibrav = 0, nat = 8, ntyp = 3
/
ATOMIC_SPECIES
Li 6.94 Li.upf
Ca 40.08 Ca.upf
Cd 112.41 Cd.upf
CELL_PARAMETERS angstrom
3.8649 0.0000 0.0000
0.0000 5.4433 0.0000
0.0000 0.0000 10.9068
ATOMIC_POSITIONS crystal
Li 0.0000 0.0000 0.0000
Ca 0.5000 0.0000 0.2556
Ca 0.5000 0.0000 0.7444
Ca 0.5000 0.5000 0.0000
Ca 0.5000 0.5000 0.5000
Cd 0.0000 0.0000 0.5000
Cd 0.0000 0.5000 0.2464
Cd 0.0000 0.5000 0.7536